Below is a relaxed structure of In2TcRhC, with properties calculated at the PBE level.

a = 4.607 Å, b = 4.607 Å, c = 3.898 Å
α = 90.00°, β = 90.00°, γ = 90.00°
Fractional positions:
In (0.000, 0.500, 0.000)
In (0.500, 0.000, 0.000)
Tc (0.000, 0.000, 0.500)
Rh (0.500, 0.500, 0.500)
C (0.000, 0.000, 0.000)

Computed properties:
Its symmetry is P4/mmm (123). As for the crystal system: tetragonal.

Below is a relaxed structure of CaAl3Cd, with properties calculated at the PBE level.

a = 5.671 Å, b = 5.671 Å, c = 5.671 Å
α = 90.00°, β = 90.00°, γ = 90.00°
Fractional positions:
Ca (0.000, 0.000, 0.000)
Al (0.000, 0.000, 0.500)
Al (0.000, 0.500, 0.000)
Al (0.500, 0.000, 0.000)
Cd (0.500, 0.500, 0.500)

Computed properties:
Its symmetry is Pm-3m (221). As for the energy above the lowest structure with this stoichiometry: 0.682 eV/atom. As for the crystal system: cubic.

Below is a relaxed structure of MnFeSe4, with properties calculated at the PBE level.

a = 7.454 Å, b = 7.454 Å, c = 5.871 Å
α = 112.15°, β = 112.15°, γ = 26.25°
Fractional positions:
Mn (0.000, 0.000, 0.000)
Fe (0.500, 0.500, 0.500)
Se (0.108, 0.108, 0.441)
Se (0.391, 0.391, 0.065)
Se (0.609, 0.609, 0.935)
Se (0.892, 0.892, 0.559)

Computed properties:
Its symmetry is C2/m (12). For the uncorrected formation energy, the calculation gives -0.352 eV per atom. As for the crystal system: monoclinic.

Below is a relaxed structure of HfZnP2C, with properties calculated at the PBE level.

a = 4.249 Å, b = 4.249 Å, c = 5.260 Å
α = 90.00°, β = 90.00°, γ = 90.00°
Fractional positions:
Hf (0.000, 0.000, 0.000)
Zn (0.000, 0.000, 0.500)
P (0.000, 0.500, 0.500)
P (0.500, 0.000, 0.500)
C (0.500, 0.500, 0.000)

Computed properties:
Its symmetry is P4/mmm (123). As for the crystal system: tetragonal.

Below is a relaxed structure of CeNdHoSc, with properties calculated at the PBE level.

a = 5.563 Å, b = 5.563 Å, c = 5.563 Å
α = 60.00°, β = 60.00°, γ = 60.00°
Fractional positions:
Ce (0.000, 0.000, 0.000)
Nd (0.500, 0.500, 0.500)
Ho (0.750, 0.750, 0.750)
Sc (0.250, 0.250, 0.250)

Computed properties:
Its symmetry is F-43m (216). As for the crystal system: cubic.

Below is a relaxed structure of Ho8Zn2Ni, with properties calculated at the PBE level.

a = 9.027 Å, b = 9.027 Å, c = 6.658 Å
α = 104.07°, β = 104.07°, γ = 32.63°
Fractional positions:
Ho (0.026, 0.026, 0.282)
Ho (0.203, 0.203, 0.815)
Ho (0.344, 0.344, 0.535)
Ho (0.410, 0.410, 0.060)
Ho (0.590, 0.590, 0.940)
Ho (0.656, 0.656, 0.465)
Ho (0.797, 0.797, 0.185)
Ho (0.974, 0.974, 0.718)
Zn (0.190, 0.190, 0.233)
Zn (0.810, 0.810, 0.767)
Ni (0.500, 0.500, 0.500)

Computed properties:
Its symmetry is C2/m (12). As for the crystal system: monoclinic.

Number 1: E -0.217 hartree per atom, spin magnetization 0.000 μB/f.u.. Number 2: E -0.062 hartree per atom, spin magnetization 0.000 μB/f.u.. Number 3: E -0.206 hartree per atom, spin magnetization 4.221 μB/f.u.. Number 4: E -0.163 hartree per atom, spin magnetization 0.000 μB/f.u.. Number 5: E -0.193 hartree per atom, spin magnetization 0.561 μB/f.u.. Number 6: E -0.156 hartree per atom, spin magnetization 0.000 μB/f.u..